Na3V3CrSe8, optimized geometry, DFT PBE; ΔE_f (raw) = -0.805 eV per atom
1.0
3.687 2.129 7.053
-3.687 2.129 7.053
0.000 -4.257 7.053
Na V Cr Se
3 3 1 8
Direct
0.000 0.500 0.500
0.500 0.000 0.500
0.500 0.500 0.000
0.000 0.000 0.500
0.000 0.500 0.000
0.500 0.000 0.000
0.500 0.500 0.500
0.233 0.734 0.734
0.235 0.235 0.235
0.266 0.266 0.767
0.266 0.767 0.266
0.734 0.233 0.734
0.734 0.734 0.233
0.765 0.765 0.765
0.767 0.266 0.266

SrBi2Pd, optimized geometry, DFT PBE; formation energy = -0.315 eV/atom
1.0
5.219 0.000 0.000
0.000 5.219 0.000
0.000 0.000 19.486
Sr Bi Pd
4 8 4
Direct
0.000 0.000 0.000
0.000 0.500 0.250
0.500 0.000 0.750
0.500 0.500 0.500
0.157 0.250 0.625
0.250 0.657 0.875
0.250 0.843 0.375
0.343 0.250 0.125
0.657 0.750 0.125
0.750 0.157 0.375
0.750 0.343 0.875
0.843 0.750 0.625
0.000 0.000 0.500
0.000 0.500 0.750
0.500 0.000 0.250
0.500 0.500 0.000

ReHgCl, optimized geometry, DFT PBE; ΔE_f (raw) = 1.749 eV per atom; polymorph energy (0 for the lowest one) = 1184 meV/atom
1.0
6.837 0.000 0.000
0.000 6.837 0.000
0.000 0.000 6.837
Re Hg Cl
4 4 4
Direct
0.000 0.000 0.000
0.000 0.500 0.500
0.500 0.000 0.500
0.500 0.500 0.000
0.250 0.250 0.750
0.250 0.750 0.250
0.750 0.250 0.250
0.750 0.750 0.750
0.000 0.000 0.500
0.000 0.500 0.000
0.500 0.000 0.000
0.500 0.500 0.500

Zn2CrIn, optimized geometry, DFT PBE; formation energy = 0.239 eV/atom
1.0
3.078 0.000 0.000
0.000 3.078 0.000
0.000 0.000 7.566
Zn Cr In
2 1 1
Direct
0.000 0.000 0.212
0.000 0.000 0.788
0.500 0.500 0.000
0.500 0.500 0.500

HfGePd, optimized geometry, DFT PBE; formation energy = -0.474 eV/atom
1.0
3.127 0.000 0.000
0.000 3.127 0.000
0.000 0.000 10.576
Hf Ge Pd
2 2 2
Direct
0.000 0.000 0.000
0.500 0.500 0.500
0.000 0.000 0.677
0.500 0.500 0.177
0.000 0.000 0.318
0.500 0.500 0.818

La15Tl4Sn, optimized geometry, DFT PBE; formation energy = -0.293 eV/atom
1.0
5.066 0.000 0.000
0.000 5.066 0.000
0.000 0.000 25.280
La Tl Sn
15 4 1
Direct
0.000 0.000 0.000
0.000 0.000 0.200
0.000 0.000 0.400
0.000 0.000 0.600
0.000 0.000 0.800
0.000 0.500 0.098
0.000 0.500 0.299
0.000 0.500 0.500
0.000 0.500 0.701
0.000 0.500 0.902
0.500 0.000 0.098
0.500 0.000 0.299
0.500 0.000 0.500
0.500 0.000 0.701
0.500 0.000 0.902
0.500 0.500 0.199
0.500 0.500 0.400
0.500 0.500 0.600
0.500 0.500 0.801
0.500 0.500 0.000

Sm2Y5Sc2, optimized geometry, DFT PBE; formation energy = 0.019 eV/atom; polymorph energy (0 for the lowest one) = 0 meV/atom
1.0
3.067 -5.321 0.000
3.067 5.321 0.000
-2.065 0.000 8.474
Sm Y Sc
2 5 2
Direct
0.163 0.837 0.000
0.837 0.163 0.000
0.059 0.388 0.662
0.388 0.059 0.662
0.500 0.500 0.000
0.612 0.941 0.338
0.941 0.612 0.338
0.283 0.283 0.338
0.717 0.717 0.662

TbPrSm2Dy4, optimized geometry, DFT PBE; formation energy = 0.417 eV/atom
1.0
-3.420 5.924 6.652
3.420 -5.924 6.652
3.420 5.924 -6.652
Tb Pr Sm Dy
2 2 4 8
Direct
0.500 0.000 0.000
0.500 0.500 0.500
0.000 0.000 0.000
0.500 0.000 0.500
0.000 0.000 0.500
0.000 0.500 0.000
0.000 0.500 0.500
0.500 0.500 0.000
0.251 0.749 0.502
0.252 0.251 0.002
0.252 0.253 0.501
0.252 0.751 0.999
0.748 0.249 0.001
0.748 0.747 0.499
0.748 0.749 0.998
0.749 0.251 0.498

Number 1: volume 332 Å³ per cell, DOS at the Fermi energy 12.84 states/eV/cell. Number 2: volume 531 Å³ per cell, DOS at the Fermi energy 9.24 states/eV/cell. Number 3: volume 320 Å³ per cell, DOS at the Fermi energy 10.35 states/eV/cell. Number 4: volume 72 Å³ per cell, DOS at the Fermi energy 1.53 states/eV/cell. Number 5: volume 103 Å³ per cell, DOS at the Fermi energy 4.62 states/eV/cell. Number 6: volume 649 Å³ per cell, DOS at the Fermi energy 31.07 states/eV/cell. Number 7: volume 277 Å³ per cell, DOS at the Fermi energy 13.63 states/eV/cell. Number 8: volume 539 Å³ per cell, DOS at the Fermi energy 36.11 states/eV/cell.